Here is a geometry-optimized GaCoTc structure from the Alexandria database. Energies are from PBE.

```
GaCoTc
1.0
-1.3408 1.3408 11.3941
1.3408 -1.3408 11.3941
1.3408 1.3408 -11.3941
Ga Co Tc
2 2 2
direct
0.0558 0.0558 0.0000
0.9442 0.9442 0.0000
0.3709 0.3709 0.0000
0.6291 0.6291 0.0000
0.2035 0.2035 0.0000
0.7965 0.7965 0.0000
```

E_tot ... -41.588 eV per cell
D(E_F) ... 5.725 states/eV per cell
Distance to the lowest polymorph of the same formula ... 0.007 eV/f.u.
E_form ... -98 meV/atom